# 1
Density functional theory data (PBE) for Cd2Ga5Pt3 after structural relaxation.

## Properties
ρ in g/cm³: 10.7
Space group: Cmc2_1 (36)

The structure in POSCAR format:
```
Cd2Ga5Pt3
1.0
3.9390 0.0000 -0.6710
0.0000 7.3142 0.0000
0.0978 0.0000 12.4715
Pt Cd Ga
6 4 10
direct
0.6141 0.5204 0.2282 Pt
0.3859 0.0204 0.7718 Pt
0.2342 0.1791 0.4684 Pt
0.9567 0.5144 0.9133 Pt
0.7658 0.6791 0.5316 Pt
0.0433 0.0144 0.0867 Pt
0.1806 0.6794 0.3612 Cd
0.4777 0.8018 0.9554 Cd
0.5223 0.3018 0.0446 Cd
0.8194 0.1794 0.6388 Cd
0.6008 0.9053 0.2016 Ga
0.7091 0.3803 0.4182 Ga
0.9442 0.1439 0.8883 Ga
0.1239 0.2603 0.2477 Ga
0.2909 0.8803 0.5818 Ga
0.3992 0.4053 0.7984 Ga
0.8761 0.7603 0.7523 Ga
0.2976 0.4799 0.5952 Ga
0.0558 0.6439 0.1117 Ga
0.7024 0.9799 0.4048 Ga
```

# 2
Density functional theory data (PBE) for CdGa5Pt3 after structural relaxation.

## Properties
ρ in g/cm³: 8.8
Space group: C2/m (12)

The structure in POSCAR format:
```
CdGa5Pt3
1.0
-2.3502 -6.7800 -0.4022
1.9600 -2.5410 -6.4308
6.7743 -6.4678 0.2956
Cd Ga Pt
2 10 6
direct
0.1287 0.1287 0.6653 Cd
0.8713 0.8713 0.3347 Cd
0.6328 0.0571 0.6833 Ga
0.7687 0.7687 0.0305 Ga
0.0571 0.6328 0.6833 Ga
0.3672 0.9429 0.3167 Ga
0.5885 0.5885 0.6447 Ga
0.4115 0.4115 0.3553 Ga
0.7109 0.2891 0.0000 Ga
0.2313 0.2313 0.9695 Ga
0.2891 0.7109 0.0000 Ga
0.9429 0.3672 0.3167 Ga
0.3265 0.3265 0.1584 Pt
0.3680 0.3680 0.6571 Pt
0.0000 0.0000 0.5000 Pt
0.6320 0.6320 0.3429 Pt
0.6735 0.6735 0.8416 Pt
0.0000 0.0000 0.0000 Pt
```

# 3
Density functional theory data (PBE) for Cd2Ga12Pt7 after structural relaxation.

## Properties
ρ in g/cm³: 11.3
Space group: P-6 (174)

The structure in POSCAR format:
```
Cd2Ga12Pt7
1.0
-0.4592 3.5591 0.3223
-7.8981 -1.6557 7.0305
10.0916 0.9919 3.4240
Pt Ga Cd
7 12 2
direct
0.5000 0.6220 0.5236 Pt
0.0000 0.7460 0.9391 Pt
0.0000 0.3333 0.6667 Pt
0.5000 0.9016 0.3780 Pt
0.0000 0.0609 0.8070 Pt
0.0000 0.1930 0.2540 Pt
0.5000 0.4764 0.0984 Pt
0.5000 0.7226 0.1027 Ga
0.0000 0.9420 0.2214 Ga
0.0000 0.5036 0.9418 Ga
0.5000 0.2573 0.8219 Ga
0.5000 0.1781 0.4354 Ga
0.0000 0.2794 0.0580 Ga
0.0000 0.7786 0.7206 Ga
0.5000 0.8973 0.6198 Ga
0.5000 0.3802 0.2774 Ga
0.5000 0.5646 0.7427 Ga
0.0000 0.4382 0.4964 Ga
0.0000 0.0582 0.5618 Ga
0.5000 0.0000 0.0000 Cd
0.0000 0.6667 0.3333 Cd
```

# 4
Density functional theory data (PBE) for Cd2GaPt8 after structural relaxation.

## Properties
ρ in g/cm³: 17.2
Space group: C2/m (12)

The structure in POSCAR format:
```
Cd2GaPt8
1.0
-1.1637 3.8417 0.6585
-2.7153 0.1591 -5.7261
-4.5396 -4.2433 4.1690
Pt Cd Ga
8 2 1
direct
0.6756 0.9109 0.3511 Pt
0.1317 0.1727 0.2635 Pt
0.9555 0.2779 0.9109 Pt
0.5869 0.4385 0.1739 Pt
0.0445 0.7221 0.0891 Pt
0.4131 0.5615 0.8261 Pt
0.3244 0.0891 0.6489 Pt
0.8683 0.8273 0.7365 Pt
0.2261 0.6432 0.4521 Cd
0.7739 0.3568 0.5478 Cd
0.5000 0.0000 0.0000 Ga
```

# 5
Density functional theory data (PBE) for Cd3GaPt6 after structural relaxation.

## Properties
ρ in g/cm³: 15.7
Space group: P2_1/m (11)

The structure in POSCAR format:
```
Cd3GaPt6
1.0
4.1569 0.0000 0.0000
0.0000 8.7754 -0.4328
0.0000 -0.2141 9.1597
Pt Cd Ga
12 6 2
direct
0.2500 0.4511 0.1003 Pt
0.7500 0.5489 0.8997 Pt
0.7500 0.7733 0.5119 Pt
0.2500 0.2267 0.4881 Pt
0.2500 0.8785 0.3256 Pt
0.2500 0.1544 0.1883 Pt
0.7500 0.3439 0.2985 Pt
0.7500 0.1215 0.6744 Pt
0.2500 0.6561 0.7015 Pt
0.7500 0.9540 0.1087 Pt
0.7500 0.8456 0.8117 Pt
0.2500 0.0460 0.8913 Pt
0.2500 0.3441 0.7910 Cd
0.2500 0.5533 0.4025 Cd
0.7500 0.4467 0.5975 Cd
0.7500 0.6559 0.2090 Cd
0.2500 0.7544 0.0069 Cd
0.7500 0.2456 0.9931 Cd
0.7500 0.0620 0.3827 Ga
0.2500 0.9380 0.6173 Ga
```

# 6
Density functional theory data (PBE) for CdGa2Pt3 after structural relaxation.

## Properties
ρ in g/cm³: 14.4
Space group: P4/mmm (123)

The structure in POSCAR format:
```
CdGa2Pt3
1.0
3.1149 0.0000 0.0000
0.0000 3.1149 0.0000
0.0000 0.0000 9.9786
Ga Cd Pt
2 1 3
direct
0.5000 0.5000 0.8404 Ga
0.5000 0.5000 0.1596 Ga
0.5000 0.5000 0.5000 Cd
0.0000 0.0000 0.7001 Pt
0.0000 0.0000 0.0000 Pt
0.0000 0.0000 0.2999 Pt
```

# 7
Density functional theory data (PBE) for CdGaPt3 after structural relaxation.

## Properties
ρ in g/cm³: 12.7
Space group: Pm-3m (221)
Relative energy among the computed polymorphs in meV per atom: 697.3

The structure in POSCAR format:
```
CdGaPt3
1.0
-3.0702 1.3283 3.2269
0.6472 -4.0067 2.2651
3.4291 1.9455 2.4617
Ga Cd Pt
1 1 3
direct
0.0000 0.0000 0.0000 Ga
0.5000 0.5000 0.5000 Cd
0.0000 0.0000 0.5000 Pt
0.5000 0.0000 0.0000 Pt
0.0000 0.5000 0.0000 Pt
```

# 8
Density functional theory data (PBE) for CdGaPt after structural relaxation.

## Properties
ρ in g/cm³: 10.9
Space group: Imm2 (44)

The structure in POSCAR format:
```
CdGaPt
1.0
4.3197 0.0000 0.0000
0.0000 6.2466 0.0000
-2.1598 -3.1233 6.3909
Cd Pt Ga
3 3 3
direct
0.6423 0.2701 0.2845 Cd
0.0000 0.7846 0.0000 Cd
0.3577 0.9855 0.7155 Cd
0.5000 0.4929 0.0000 Pt
0.8339 0.2707 0.6679 Pt
0.1661 0.6029 0.3321 Pt
0.6892 0.8447 0.3784 Ga
0.0000 0.2202 0.0000 Ga
0.3108 0.4663 0.6216 Ga
```

| no. | formation enthalpy at 0 K (meV per atom) | M_tot (μB per cell) |
| --- | --- | --- |
| 1 | -394 | 0.0 |
| 2 | -371 | 0.0 |
| 3 | -510 | 0.0 |
| 4 | -244 | 0.0 |
| 5 | -353 | 0.0 |
| 6 | -488 | 0.0 |
| 7 | 276 | 0.0 |
| 8 | -391 | 0.0 |